# 1
MnSb2TeRh | GGA-PBE | optimized geometry

The structure in POSCAR format:
```
MnSb2TeRh
1.0
4.891 0.000 0.000
0.000 4.891 0.000
0.000 0.000 5.025
Mn Sb Te Rh
1 2 1 1
Direct
0.000 0.000 0.000 Mn
0.000 0.500 0.000 Sb
0.500 0.000 0.000 Sb
0.000 0.000 0.500 Te
0.500 0.500 0.500 Rh
```

Computed properties:
The value obtained for the total energy is -4.906 eV per atom. The calculation puts the uncorrected formation energy at 0.68 eV/atom. Its energy above the most stable polymorph in this dataset is 0.000 eV/atom.

# 2
Rb2ScBiTe | GGA-PBE | optimized geometry

The structure in POSCAR format:
```
Rb2ScBiTe
1.0
6.666 0.000 0.000
0.000 6.666 0.000
0.000 0.000 5.470
Rb Sc Bi Te
2 1 1 1
Direct
0.000 0.500 0.000 Rb
0.500 0.000 0.000 Rb
0.000 0.000 0.500 Sc
0.500 0.500 0.500 Bi
0.000 0.000 0.000 Te
```

Computed properties:
The value obtained for the total energy is -3.186 eV per atom. The calculation puts the uncorrected formation energy at -0.13 eV/atom.

# 3
K3Zr2Te6Pd | GGA-PBE | optimized geometry

The structure in POSCAR format:
```
K3Zr2Te6Pd
1.0
3.723 -6.429 0.000
3.723 6.429 0.000
-2.496 0.000 8.090
K Zr Te Pd
3 2 6 1
Direct
0.000 0.000 0.000 K
0.332 0.668 0.000 K
0.668 0.332 0.000 K
0.166 0.834 0.500 Zr
0.834 0.166 0.500 Zr
0.109 0.436 0.308 Te
0.235 0.235 0.695 Te
0.436 0.109 0.308 Te
0.564 0.891 0.692 Te
0.765 0.765 0.305 Te
0.891 0.564 0.692 Te
0.500 0.500 0.500 Pd
```

Computed properties:
The value obtained for the total energy is -4.520 eV per atom. The calculation puts the uncorrected formation energy at -0.82 eV/atom.

# 4
ZrTlZn2 | GGA-PBE | optimized geometry

The structure in POSCAR format:
```
ZrTlZn2
1.0
4.269 0.000 0.000
0.000 4.269 0.000
0.000 0.000 4.182
Zr Tl Zn
1 1 2
Direct
0.000 0.000 0.000 Zr
0.500 0.500 0.000 Tl
0.000 0.500 0.500 Zn
0.500 0.000 0.500 Zn
```

Computed properties:
The value obtained for the total energy is -3.512 eV per atom. Its energy above the most stable polymorph in this dataset is 0.000 eV/atom.

# 5
Ac4Ta | GGA-PBE | optimized geometry

The structure in POSCAR format:
```
Ac4Ta
1.0
6.042 0.000 0.000
0.000 6.042 0.000
0.000 0.000 6.042
Ac Ta
4 1
Direct
0.000 0.000 0.000 Ac
0.000 0.500 0.500 Ac
0.500 0.000 0.500 Ac
0.500 0.500 0.000 Ac
0.500 0.500 0.500 Ta
```

Computed properties:
The value obtained for the total energy is -5.091 eV per atom.

# 6
KUCrS4 | GGA-PBE | optimized geometry

The structure in POSCAR format:
```
KUCrS4
1.0
-3.846 4.364 5.130
3.846 -4.364 5.130
3.846 4.364 -5.130
K U Cr S
2 2 2 8
Direct
0.426 0.176 0.250 K
0.574 0.824 0.750 K
0.000 0.500 0.500 U
0.500 0.500 0.000 U
0.000 0.000 0.500 Cr
0.000 0.500 0.000 Cr
0.174 0.246 0.928 S
0.182 0.754 0.428 S
0.242 0.279 0.537 S
0.242 0.706 0.963 S
0.758 0.294 0.037 S
0.758 0.721 0.463 S
0.818 0.246 0.572 S
0.826 0.754 0.072 S
```

Computed properties:
The value obtained for the total energy is -6.551 eV per atom. The calculation puts the uncorrected formation energy at -1.05 eV/atom.